1.
Entry from Alexandria: a geometry-optimized Mg2PdRh structure (GGA-PBE).

Lattice parameters (Å, degrees): 4.426 4.426 3.169 90.00 90.00 90.00
Space group P4/mmm (No. 123)
Inequivalent atoms, fractional coordinates:
1 Mg 0.000 0.500 0.000
2 Pd 0.000 0.000 0.500
3 Rh 0.500 0.500 0.500

Output
Energy of formation from the pure elements = -0.65 eV per atom
Total magnetization = 0.00 μB/f.u.
Energy = -18.32 eV per cell

=====

2.
Entry from Alexandria: a geometry-optimized MgSbPdRh structure (GGA-PBE).

Lattice parameters (Å, degrees): 6.456 6.456 6.456 90.00 90.00 90.00
Space group F-43m (No. 216)
Inequivalent atoms, fractional coordinates:
1 Mg 0.000 0.000 0.000
2 Sb 0.000 0.000 0.500
3 Pd 0.250 0.250 0.750
4 Rh 0.250 0.250 0.250

Output
Total magnetization = 0.00 μB/f.u.
Energy = -81.51 eV per cell

=====

3.
Entry from Alexandria: a geometry-optimized Mg2Sc5Pd2Rh structure (GGA-PBE).

Lattice parameters (Å, degrees): 11.195 11.195 3.335 90.00 90.00 90.00
Space group P4/mbm (No. 127)
Inequivalent atoms, fractional coordinates:
1 Mg 0.177 0.323 0.000
2 Sc 0.000 0.500 0.500
3 Sc 0.062 0.811 0.500
4 Pd 0.134 0.634 0.000
5 Rh 0.000 0.000 0.000

Output
Energy of formation from the pure elements = -0.57 eV per atom
Total magnetization = 0.00 μB/f.u.
Energy = -116.52 eV per cell

=====

4.
Entry from Alexandria: a geometry-optimized Mg2Sc5PdRh2 structure (GGA-PBE).

Lattice parameters (Å, degrees): 11.082 11.082 3.379 90.00 90.00 90.00
Space group P4/mbm (No. 127)
Inequivalent atoms, fractional coordinates:
1 Mg 0.176 0.324 0.000
2 Sc 0.000 0.500 0.500
3 Sc 0.068 0.801 0.500
4 Pd 0.000 0.000 0.000
5 Rh 0.133 0.633 0.000

Output
Energy of formation from the pure elements = -0.58 eV per atom
Total magnetization = 0.00 μB/f.u.
Energy = -121.04 eV per cell

=====

5.
Entry from Alexandria: a geometry-optimized MgSc4PdRh2 structure (GGA-PBE).

Lattice parameters (Å, degrees): 4.6833 4.6833 23.0614 90.00 90.00 120.00
Space group R-3m (No. 166, hexagonal axes)
Inequivalent atoms, fractional coordinates:
1 Mg 0.0000 0.0000 0.0000
2 Sc 0.0000 0.0000 0.1289
3 Sc 0.0000 0.0000 0.3796
4 Pd 0.0000 0.0000 0.5000
5 Rh 0.0000 0.0000 0.2524

Output
Energy of formation from the pure elements = -0.72 eV per atom
Total magnetization = 0.00 μB/f.u.
Energy = -157.83 eV per cell

=====

6.
Entry from Alexandria: a geometry-optimized MgPd2RhSe structure (GGA-PBE).

Lattice parameters (Å, degrees): 4.602 4.602 4.757 90.00 90.00 90.00
Space group P4/mmm (No. 123)
Inequivalent atoms, fractional coordinates:
1 Mg 0.000 0.000 0.000
2 Pd 0.000 0.500 0.000
3 Rh 0.500 0.500 0.500
4 Se 0.000 0.000 0.500

Output
Total magnetization = 1.15 μB/f.u.
Energy = -18.78 eV per cell